Entry 1:
# NaScTiO4

NaScTiO4 at its PBEsol-relaxed geometry (SCAN, Alexandria via LeMat-Bulk).

total magnetization = 0.0 μB per cell
formation energy (no corrections) = -3.26 eV per atom
calculated total energy = -0.4317 hartree per atom

Unit cell a=3.034 b=9.280 c=10.882 alpha=90.00 beta=90.00 gamma=90.00
Sites, in units of the cell vectors:
O 0.500 0.801 0.603
O 0.500 0.375 0.744
O 0.000 0.011 0.467
O 0.000 0.605 0.778
O 0.500 0.875 0.256
O 0.500 0.075 0.665
O 0.500 0.971 0.033
O 0.000 0.928 0.811
O 0.500 0.575 0.335
O 0.500 0.471 0.967
O 0.000 0.511 0.533
O 0.000 0.105 0.222
O 0.500 0.301 0.397
O 0.000 0.716 0.090
O 0.000 0.216 0.910
O 0.000 0.428 0.189
Sc 0.500 0.077 0.352
Sc 0.500 0.076 0.857
Sc 0.500 0.577 0.648
Sc 0.500 0.576 0.143
Na 0.500 0.748 0.900
Na 0.000 0.759 0.402
Na 0.500 0.248 0.100
Na 0.000 0.259 0.598
Ti 0.000 0.919 0.140
Ti 0.000 0.438 0.364
Ti 0.000 0.419 0.860
Ti 0.000 0.938 0.636


Entry 2:
# NaZrScO4

NaZrScO4 at its PBEsol-relaxed geometry (SCAN, Alexandria via LeMat-Bulk).

total magnetization = 0.0 μB per cell
formation energy (no corrections) = -3.41 eV per atom
calculated total energy = -0.5141 hartree per atom

Unit cell a=3.183 b=9.497 c=11.194 alpha=90.00 beta=90.00 gamma=90.00
Sites, in units of the cell vectors:
Na 0.000 0.755 0.397
Na 0.500 0.246 0.107
Na 0.000 0.255 0.603
Na 0.500 0.746 0.893
O 0.500 0.482 0.965
O 0.000 0.114 0.236
O 0.000 0.429 0.177
O 0.000 0.614 0.764
O 0.500 0.572 0.326
O 0.500 0.293 0.405
O 0.000 0.518 0.531
O 0.500 0.982 0.035
O 0.500 0.381 0.735
O 0.500 0.881 0.265
O 0.500 0.072 0.674
O 0.000 0.018 0.469
O 0.000 0.710 0.095
O 0.500 0.793 0.595
O 0.000 0.929 0.823
O 0.000 0.210 0.905
Zr 0.000 0.921 0.143
Zr 0.000 0.930 0.639
Zr 0.000 0.421 0.857
Zr 0.000 0.430 0.361
Sc 0.500 0.577 0.641
Sc 0.500 0.077 0.359
Sc 0.500 0.572 0.138
Sc 0.500 0.072 0.862


Entry 3:
# NaSeO3

NaSeO3 at its PBEsol-relaxed geometry (SCAN, Alexandria via LeMat-Bulk).

total magnetization = 0.0 μB per cell
formation energy (no corrections) = -0.88 eV per atom
calculated total energy = -0.3483 hartree per atom

Unit cell a=3.783 b=3.783 c=3.783 alpha=90.00 beta=90.00 gamma=90.00
Sites, in units of the cell vectors:
O 0.500 0.000 0.000
O 0.000 0.000 0.500
O 0.000 0.500 0.000
Se 0.000 0.000 0.000
Na 0.500 0.500 0.500


Entry 4:
# NaSeO3

NaSeO3 at its PBEsol-relaxed geometry (SCAN, Alexandria via LeMat-Bulk).

total magnetization = 0.0 μB per cell
formation energy (no corrections) = -1.23 eV per atom
calculated total energy = -0.3611 hartree per atom

Unit cell a=5.837 b=9.294 c=12.070 alpha=92.37 beta=103.99 gamma=90.00
Sites, in units of the cell vectors:
O 0.905 0.104 0.944
O 0.091 0.305 0.624
O 0.490 0.989 0.804
O 0.686 0.511 0.196
O 0.643 0.088 0.623
O 0.533 0.805 0.624
O 0.581 0.498 0.396
O 0.419 0.502 0.604
O 0.357 0.912 0.377
O 0.127 0.628 0.189
O 0.062 0.128 0.189
O 0.020 0.412 0.377
O 0.980 0.588 0.623
O 0.095 0.896 0.056
O 0.184 0.002 0.604
O 0.467 0.195 0.376
O 0.873 0.372 0.811
O 0.938 0.872 0.811
O 0.314 0.489 0.804
O 0.961 0.396 0.056
O 0.909 0.695 0.376
O 0.816 0.998 0.396
O 0.039 0.604 0.944
O 0.510 0.011 0.196
Na 0.115 0.171 0.450
Na 0.983 0.877 0.251
Na 0.885 0.829 0.550
Na 0.017 0.123 0.749
Na 0.665 0.329 0.550
Na 0.268 0.377 0.251
Na 0.335 0.671 0.450
Na 0.732 0.623 0.749
Se 0.819 0.922 0.917
Se 0.181 0.078 0.083
Se 0.098 0.422 0.917
Se 0.195 0.471 0.661
Se 0.805 0.529 0.339
Se 0.466 0.971 0.661
Se 0.902 0.578 0.083
Se 0.534 0.029 0.339


Entry 5:
# Na4SeO5

Na4SeO5 at its PBEsol-relaxed geometry (SCAN, Alexandria via LeMat-Bulk).

total magnetization = 0.0 μB per cell
formation energy (no corrections) = -1.52 eV per atom
calculated total energy = -0.3061 hartree per atom

Unit cell a=5.600 b=9.870 c=9.882 alpha=113.34 beta=96.23 gamma=95.76
Sites, in units of the cell vectors:
Na 0.994 0.193 0.798
Na 0.500 0.500 0.500
Na 0.732 0.642 0.845
Na 0.758 0.448 0.063
Na 0.001 0.398 0.601
Na 0.278 0.166 0.362
Na 0.495 0.901 0.095
Na 0.268 0.358 0.155
Na 0.253 0.943 0.545
Na 0.999 0.602 0.399
Na 0.722 0.834 0.638
Na 0.000 0.000 0.000
Na 0.006 0.807 0.202
Na 0.747 0.057 0.455
Na 0.242 0.552 0.937
Na 0.505 0.099 0.905
O 0.602 0.123 0.683
O 0.118 0.947 0.772
O 0.791 0.392 0.809
O 0.882 0.053 0.228
O 0.051 0.351 0.342
O 0.136 0.774 0.926
O 0.673 0.272 0.417
O 0.589 0.545 0.292
O 0.212 0.191 0.602
O 0.411 0.455 0.708
O 0.619 0.682 0.102
O 0.949 0.649 0.658
O 0.327 0.728 0.583
O 0.398 0.877 0.317
O 0.864 0.226 0.074
O 0.523 0.843 0.848
O 0.477 0.157 0.152
O 0.209 0.608 0.191
O 0.381 0.318 0.898
O 0.788 0.809 0.398
Se 0.215 0.779 0.755
Se 0.516 0.705 0.267
Se 0.484 0.295 0.733
Se 0.785 0.221 0.245


Entry 6:
# Na2Se2O7

Na2Se2O7 at its PBEsol-relaxed geometry (SCAN, Alexandria via LeMat-Bulk).

total magnetization = 0.0 μB per cell
formation energy (no corrections) = -1.18 eV per atom
calculated total energy = -0.3514 hartree per atom

Unit cell a=7.007 b=7.000 c=7.105 alpha=65.54 beta=82.68 gamma=82.03
Sites, in units of the cell vectors:
Na 0.351 0.732 0.394
Na 0.649 0.268 0.606
Na 0.926 0.741 0.765
Na 0.074 0.259 0.235
O 0.747 0.983 0.083
O 0.730 0.254 0.277
O 0.033 0.366 0.867
O 0.253 0.017 0.917
O 0.313 0.366 0.552
O 0.270 0.746 0.723
O 0.418 0.638 0.105
O 0.687 0.634 0.448
O 0.991 0.166 0.613
O 0.009 0.834 0.387
O 0.398 0.098 0.260
O 0.967 0.634 0.133
O 0.602 0.902 0.740
O 0.582 0.362 0.895
Se 0.860 0.753 0.279
Se 0.599 0.198 0.136
Se 0.401 0.802 0.864
Se 0.140 0.247 0.721


Entry 7:
# NaYSe2O6

NaYSe2O6 at its PBEsol-relaxed geometry (SCAN, Alexandria via LeMat-Bulk).

total magnetization = 0.0 μB per cell
formation energy (no corrections) = -1.97 eV per atom
calculated total energy = -0.4750 hartree per atom

Unit cell a=5.384 b=8.547 c=12.585 alpha=90.00 beta=90.00 gamma=90.00
Sites, in units of the cell vectors:
Se 0.752 0.969 0.801
Se 0.252 0.469 0.699
Se 0.752 0.531 0.301
Se 0.252 0.031 0.199
Se 0.203 0.768 0.915
Se 0.703 0.232 0.085
Se 0.203 0.732 0.415
Se 0.703 0.268 0.585
O 0.985 0.222 0.533
O 0.118 0.563 0.485
O 0.618 0.437 0.515
O 0.438 0.632 0.700
O 0.438 0.868 0.200
O 0.308 0.100 0.325
O 0.485 0.722 0.967
O 0.456 0.457 0.286
O 0.118 0.937 0.985
O 0.938 0.368 0.300
O 0.938 0.132 0.800
O 0.506 0.351 0.016
O 0.956 0.957 0.214
O 0.456 0.043 0.786
O 0.808 0.600 0.175
O 0.485 0.778 0.467
O 0.985 0.278 0.033
O 0.618 0.063 0.015
O 0.308 0.400 0.825
O 0.006 0.649 0.984
O 0.506 0.149 0.516
O 0.808 0.900 0.675
O 0.956 0.543 0.714
O 0.006 0.851 0.484
Na 0.207 0.492 0.120
Na 0.707 0.508 0.880
Na 0.707 0.992 0.380
Na 0.207 0.008 0.620
Y 0.759 0.824 0.084
Y 0.259 0.324 0.416
Y 0.759 0.676 0.584
Y 0.259 0.176 0.916


Entry 8:
# Na2Si3O7

Na2Si3O7 at its PBEsol-relaxed geometry (SCAN, Alexandria via LeMat-Bulk).

total magnetization = 0.0 μB per cell
formation energy (no corrections) = -2.77 eV per atom
calculated total energy = -0.3531 hartree per atom

Unit cell a=4.855 b=5.097 c=11.543 alpha=100.81 beta=90.00 gamma=118.45
Sites, in units of the cell vectors:
Na 0.849 0.293 0.682
Na 0.151 0.707 0.318
Na 0.556 0.707 0.818
Na 0.444 0.293 0.182
Si 0.500 0.500 0.500
Si 0.256 0.087 0.886
Si 0.830 0.087 0.386
Si 0.744 0.913 0.114
Si 0.000 0.500 0.000
Si 0.170 0.913 0.614
O 0.208 0.282 0.371
O 0.750 0.754 0.411
O 0.683 0.271 0.466
O 0.412 0.729 0.034
O 0.317 0.729 0.534
O 0.353 0.000 0.750
O 0.926 0.718 0.129
O 0.004 0.754 0.911
O 0.588 0.271 0.966
O 0.250 0.246 0.589
O 0.792 0.718 0.629
O 0.996 0.246 0.089
O 0.074 0.282 0.871
O 0.647 0.000 0.250